Computed, not measured: crystalline PmScNiRu at its relaxed geometry at the PBE level of DFT.

## Properties
* DOS at the Fermi energy: 2.64 states/eV/cell
* energy of formation: -0.33 eV per atom
* electronic total energy: -6.87 eV/atom

Cell and atoms, written as POSCAR:
```
PmScNiRu
1.0
0.0000 3.3441 3.3441
3.3441 0.0000 3.3441
3.3441 3.3441 0.0000
Pm Sc Ni Ru
1 1 1 1
Direct
0.0000 0.0000 0.0000
0.5000 0.5000 0.5000
0.7500 0.7500 0.7500
0.2500 0.2500 0.2500
```